First-principles (PBE) data for a geometry-optimized TmZr2Se4 structure, as listed in the Alexandria database.

Cell: 6.5402 6.5402 13.8045 Å, 90.00 90.00 146.78°
Last column: nearest neighbours and their distance in Å.
Atoms (fractional coordinates):
Tm 0.1044 0.8956 0.7500  6 Se 2.78-2.85
Tm 0.8956 0.1044 0.2500  6 Se 2.78-2.85
Zr 0.3504 0.6496 0.5584  6 Se 2.69-2.87
Zr 0.3504 0.6496 0.9416  6 Se 2.69-2.87
Zr 0.6496 0.3504 0.0584  6 Se 2.69-2.87
Zr 0.6496 0.3504 0.4416  6 Se 2.69-2.87
Se 0.0000 0.0000 0.0000  4 Zr 2.77
Se 0.0000 0.0000 0.5000  4 Zr 2.77
Se 0.2884 0.7116 0.1281  3 Zr 2.69-2.73, 2 Tm 2.85
Se 0.2884 0.7116 0.3719  3 Zr 2.69-2.73, 2 Tm 2.85
Se 0.4401 0.5599 0.7500  2 Tm 2.78, 2 Zr 2.87
Se 0.5599 0.4401 0.2500  2 Tm 2.78, 2 Zr 2.87
Se 0.7116 0.2884 0.6281  3 Zr 2.69-2.73, 2 Tm 2.85
Se 0.7116 0.2884 0.8719  3 Zr 2.69-2.73, 2 Tm 2.85

* E_tot: -6.46 eV per atom
* D(E_F): 7.94 states/eV/cell
* E_form (uncorrected): -1.391 eV/atom